Cr7P6O24 after structural relaxation. Source: the Alexandria database, functional PBE+U.

Lattice parameters (Å, degrees): 6.3568 8.1667 9.4790 107.04 108.51 100.59
Last column: nearest neighbours and their distance in Å.
Positions (direct):
Cr  0.2843  0.3225  0.7997  5 O 2.08-2.23
Cr  0.7157  0.6775  0.2003  5 O 2.08-2.23
Cr  0.6205  0.0397  0.3914  6 O 1.93-2.12
Cr  0.3795  0.9603  0.6086  6 O 1.93-2.12
Cr  0.0000  0.5000  0.5000  4 O 2.06-2.22
Cr  0.0486  0.2135  0.0276  6 O 1.94-2.13
Cr  0.9514  0.7865  0.9724  6 O 1.94-2.13
P  0.0971  0.0981  0.3343  4 O 1.50-1.59
P  0.9029  0.9019  0.6657  4 O 1.50-1.59
P  0.7742  0.3519  0.7384  4 O 1.51-1.58
P  0.2258  0.6481  0.2616  4 O 1.51-1.58
P  0.6059  0.2590  0.1374  4 O 1.52-1.58
P  0.3941  0.7410  0.8626  4 O 1.52-1.58
O  0.2688  0.5436  0.7353  1 P 1.57
O  0.7312  0.4564  0.2647  1 P 1.57
O  0.7472  0.2044  0.0380  1 P 1.53
O  0.2528  0.7956  0.9620  1 P 1.53
O  0.5578  0.1356  0.2244  1 P 1.52
O  0.4422  0.8644  0.7756  1 P 1.52
O  0.7757  0.2883  0.5667  1 P 1.56
O  0.2243  0.7117  0.4333  1 P 1.56
O  0.1257  0.2926  0.4169  1 P 1.50
O  0.8743  0.7074  0.5831  1 P 1.50
O  0.0744  0.0479  0.1555  1 P 1.57
O  0.9256  0.9521  0.8445  1 P 1.57
O  0.2059  0.4503  0.2045  1 P 1.51
O  0.6835  0.9557  0.5802  1 P 1.59
O  0.3165  0.0443  0.4198  1 P 1.59
O  0.4541  0.7596  0.2610  1 P 1.57
O  0.5459  0.2404  0.7390  1 P 1.57
O  0.8841  0.9729  0.3391  1 P 1.56
O  0.7941  0.5497  0.7955  1 P 1.51
O  0.6343  0.7517  0.9874  1 P 1.58
O  0.3657  0.2483  0.0126  1 P 1.58
O  0.0102  0.6820  0.1474  1 P 1.58
O  0.9898  0.3180  0.8526  1 P 1.58
O  0.1159  0.0271  0.6609  1 P 1.56

Properties
- ρ: 3.65 g/cm3
- Magnetic moment: 24.00 μB/f.u.
- E_tot: -281.889 eV for the cell shown
- Symmetry: P-1 (2)
- V: 424.8 Å³/f.u.